Below is an optimized crystal structure of DyTm2Al, with properties calculated at the PBE level.

## Properties
The calculation puts the polymorph energy (0 for the lowest one) at 27.0 meV/atom. As for the space group: Ama2 (40).

abc: 4.983 6.649 6.649
angles: 102.36 90.00 90.00
Positions (direct):
Dy 0.250 0.112 0.888
Dy 0.750 0.888 0.112
Tm 0.250 0.178 0.414
Tm 0.250 0.700 0.478
Tm 0.750 0.414 0.178
Tm 0.750 0.478 0.700
Al 0.250 0.619 0.968
Al 0.750 0.968 0.619

---

Below is an optimized crystal structure of Dy2TmAl5, with properties calculated at the PBE level.

## Properties
The calculation puts the total energy at -4.353 eV per atom. As for the space group: Amm2 (38).

abc: 4.797 6.359 6.359
angles: 62.19 90.00 90.00
Positions (direct):
Dy 0.000 0.000 0.000
Dy 0.500 0.309 0.309
Tm 0.500 0.812 0.812
Al 0.000 0.497 0.959
Al 0.000 0.510 0.510
Al 0.000 0.959 0.497
Al 0.500 0.348 0.787
Al 0.500 0.787 0.348

---

Below is an optimized crystal structure of DyTm2Al, with properties calculated at the PBE level.

## Properties
The calculation puts the polymorph energy (0 for the lowest one) at 107.7 meV/atom. As for the space group: Amm2 (38).

abc: 5.279 6.782 6.782
angles: 61.90 90.00 90.00
Positions (direct):
Dy 0.000 0.000 0.000
Dy 0.500 0.296 0.296
Tm 0.000 0.473 0.473
Tm 0.500 0.332 0.806
Tm 0.500 0.806 0.332
Tm 0.500 0.819 0.819
Al 0.000 0.518 0.933
Al 0.000 0.933 0.518

---

Below is an optimized crystal structure of Dy2YTmAl4, with properties calculated at the PBE level.

## Properties
The calculation puts the total energy at -4.782 eV per atom. As for the space group: Amm2 (38).

abc: 6.743 7.087 7.087
angles: 36.29 90.00 90.00
Positions (direct):
Dy 0.000 0.000 0.000
Dy 0.500 0.448 0.448
Y 0.000 0.276 0.276
Tm 0.500 0.173 0.173
Al 0.197 0.627 0.627
Al 0.305 0.820 0.820
Al 0.695 0.820 0.820
Al 0.803 0.627 0.627

---

Below is an optimized crystal structure of DyTmAl2Zn2, with properties calculated at the PBE level.

## Properties
The calculation puts the total energy at -3.645 eV per atom. As for the space group: P3m1 (156).

abc: 4.456 4.456 7.114
angles: 90.00 90.00 120.00
Positions (direct):
Dy 0.000 0.000 0.000
Tm 0.000 0.000 0.500
Al 0.333 0.667 0.229
Al 0.667 0.333 0.722
Zn 0.333 0.667 0.789
Zn 0.667 0.333 0.297

---

Below is an optimized crystal structure of DyAlW, with properties calculated at the PBE level.

## Properties
The calculation puts the polymorph energy (0 for the lowest one) at 743.7 meV/atom. As for the space group: F-43m (216).

abc: 4.757 4.757 4.757
angles: 60.00 60.00 60.00
Positions (direct):
Dy 0.000 0.000 0.000
Al 0.750 0.750 0.750
W 0.250 0.250 0.250

---

Below is an optimized crystal structure of DyAlW, with properties calculated at the PBE level.

## Properties
The calculation puts the polymorph energy (0 for the lowest one) at 0.0 meV/atom. As for the space group: F-43m (216).

abc: 4.560 4.560 4.560
angles: 60.00 60.00 60.00
Positions (direct):
Dy 0.000 0.000 0.000
Al 0.250 0.250 0.250
W 0.500 0.500 0.500

---

Below is an optimized crystal structure of Dy6Al43W4, with properties calculated at the PBE level.

## Properties
The calculation puts the total energy at -4.811 eV per atom. As for the space group: P6_3/mcm (193).

abc: 11.010 11.010 17.732
angles: 90.00 90.00 120.00
Positions (direct):
Dy 0.000 0.468 0.096
Dy 0.000 0.468 0.404
Dy 0.000 0.532 0.596
Dy 0.000 0.532 0.904
Dy 0.468 0.000 0.096
Dy 0.468 0.000 0.404
Dy 0.468 0.468 0.596
Dy 0.468 0.468 0.904
Dy 0.532 0.000 0.596
Dy 0.532 0.000 0.904
Dy 0.532 0.532 0.096
Dy 0.532 0.532 0.404
Al 0.000 0.149 0.750
Al 0.000 0.161 0.114
Al 0.000 0.161 0.386
Al 0.000 0.255 0.530
Al 0.000 0.255 0.970
Al 0.000 0.745 0.030
Al 0.000 0.745 0.470
Al 0.000 0.839 0.614
Al 0.000 0.839 0.886
Al 0.000 0.851 0.250
Al 0.148 0.552 0.250
Al 0.148 0.595 0.750
Al 0.149 0.000 0.750
Al 0.149 0.149 0.250
Al 0.158 0.395 0.664
Al 0.158 0.395 0.836
Al 0.158 0.763 0.164
Al 0.158 0.763 0.336
Al 0.161 0.000 0.114
Al 0.161 0.000 0.386
Al 0.161 0.161 0.614
Al 0.161 0.161 0.886
Al 0.237 0.395 0.164
Al 0.237 0.395 0.336
Al 0.237 0.842 0.664
Al 0.237 0.842 0.836
Al 0.247 0.494 0.000
Al 0.247 0.494 0.500
Al 0.247 0.753 0.000
Al 0.247 0.753 0.500
Al 0.255 0.000 0.530
Al 0.255 0.000 0.970
Al 0.255 0.255 0.030
Al 0.255 0.255 0.470
Al 0.333 0.667 0.125
Al 0.333 0.667 0.375
Al 0.333 0.667 0.625
Al 0.333 0.667 0.875
Al 0.395 0.158 0.664
Al 0.395 0.158 0.836
Al 0.395 0.237 0.164
Al 0.395 0.237 0.336
Al 0.405 0.552 0.750
Al 0.405 0.852 0.250
Al 0.448 0.595 0.250
Al 0.448 0.852 0.750
Al 0.494 0.247 0.000
Al 0.494 0.247 0.500
Al 0.506 0.753 0.000
Al 0.506 0.753 0.500
Al 0.552 0.148 0.250
Al 0.552 0.405 0.750
Al 0.595 0.148 0.750
Al 0.595 0.448 0.250
Al 0.605 0.763 0.664
Al 0.605 0.763 0.836
Al 0.605 0.842 0.164
Al 0.605 0.842 0.336
Al 0.667 0.333 0.125
Al 0.667 0.333 0.375
Al 0.667 0.333 0.625
Al 0.667 0.333 0.875
Al 0.745 0.000 0.030
Al 0.745 0.000 0.470
Al 0.745 0.745 0.530
Al 0.745 0.745 0.970
Al 0.753 0.247 0.000
Al 0.753 0.247 0.500
Al 0.753 0.506 0.000
Al 0.753 0.506 0.500
Al 0.763 0.158 0.164
Al 0.763 0.158 0.336
Al 0.763 0.605 0.664
Al 0.763 0.605 0.836
Al 0.839 0.000 0.614
Al 0.839 0.000 0.886
Al 0.839 0.839 0.114
Al 0.839 0.839 0.386
Al 0.842 0.237 0.664
Al 0.842 0.237 0.836
Al 0.842 0.605 0.164
Al 0.842 0.605 0.336
Al 0.851 0.000 0.250
Al 0.851 0.851 0.750
Al 0.852 0.405 0.250
Al 0.852 0.448 0.750
W 0.000 0.000 0.000
W 0.000 0.000 0.500
W 0.000 0.270 0.250
W 0.000 0.730 0.750
W 0.270 0.000 0.250
W 0.270 0.270 0.750
W 0.730 0.000 0.750
W 0.730 0.730 0.250

---

Below is an optimized crystal structure of DyYAl2, with properties calculated at the PBE level.

## Properties
The calculation puts the polymorph energy (0 for the lowest one) at 227.9 meV/atom. As for the space group: Ama2 (40).

abc: 5.091 6.799 6.799
angles: 125.85 90.00 90.00
Positions (direct):
Dy 0.250 0.197 0.803
Dy 0.750 0.803 0.197
Y 0.250 0.681 0.833
Y 0.750 0.833 0.681
Al 0.250 0.204 0.320
Al 0.250 0.650 0.345
Al 0.750 0.320 0.204
Al 0.750 0.345 0.650

---

Below is an optimized crystal structure of DyYAl2, with properties calculated at the PBE level.

## Properties
The calculation puts the polymorph energy (0 for the lowest one) at 0.0 meV/atom. As for the space group: Cmcm (63).

abc: 6.235 6.235 5.098
angles: 90.00 90.00 109.77
Positions (direct):
Dy 0.130 0.870 0.750
Dy 0.870 0.130 0.250
Y 0.371 0.629 0.250
Y 0.629 0.371 0.750
Al 0.130 0.368 0.750
Al 0.368 0.130 0.250
Al 0.632 0.870 0.750
Al 0.870 0.632 0.250

---

Below is an optimized crystal structure of DyYAl2, with properties calculated at the PBE level.

## Properties
The calculation puts the polymorph energy (0 for the lowest one) at 216.7 meV/atom. As for the space group: Amm2 (38).

abc: 5.043 6.561 6.561
angles: 61.25 90.00 90.00
Positions (direct):
Dy 0.000 0.000 0.000
Dy 0.500 0.327 0.327
Y 0.500 0.353 0.817
Y 0.500 0.817 0.353
Al 0.000 0.503 0.503
Al 0.000 0.534 0.958
Al 0.000 0.958 0.534
Al 0.500 0.830 0.830

---

Below is an optimized crystal structure of Dy2Y5Al, with properties calculated at the PBE level.

## Properties
The calculation puts the total energy at -5.684 eV per atom. As for the space group: Amm2 (38).

abc: 5.531 7.070 7.070
angles: 60.10 90.00 90.00
Positions (direct):
Dy 0.000 0.000 0.000
Dy 0.500 0.342 0.342
Y 0.000 0.001 0.510
Y 0.000 0.510 0.001
Y 0.500 0.341 0.827
Y 0.500 0.827 0.341
Y 0.500 0.837 0.837
Al 0.000 0.504 0.504

---

Below is an optimized crystal structure of Dy2Y2Al3, with properties calculated at the PBE level.

## Properties
The calculation puts the total energy at -4.969 eV per atom. As for the space group: C2/m (12).

abc: 6.493 6.493 6.645
angles: 111.44 111.44 44.94
Positions (direct):
Dy 0.181 0.181 0.297
Dy 0.819 0.819 0.703
Y 0.457 0.457 0.220
Y 0.543 0.543 0.780
Al 0.000 0.000 0.500
Al 0.216 0.216 0.835
Al 0.784 0.784 0.165

---

Below is an optimized crystal structure of DyAlZn, with properties calculated at the PBE level.

## Properties
The calculation puts the total energy at -3.672 eV per atom. As for the space group: P6_3mc (186).

abc: 4.477 4.477 7.132
angles: 90.00 90.00 120.00
Positions (direct):
Dy 0.000 0.000 0.000
Dy 0.000 0.000 0.500
Al 0.333 0.667 0.226
Al 0.667 0.333 0.726
Zn 0.333 0.667 0.791
Zn 0.667 0.333 0.291

---

Below is an optimized crystal structure of DyAlZn, with properties calculated at the PBE level.

## Properties
The calculation puts the total energy at -3.418 eV per atom. As for the space group: P6_3/mmc (194).

abc: 4.897 4.897 5.957
angles: 90.00 90.00 120.00
Positions (direct):
Dy 0.333 0.667 0.250
Dy 0.667 0.333 0.750
Al 0.333 0.667 0.750
Al 0.667 0.333 0.250
Zn 0.000 0.000 0.000
Zn 0.000 0.000 0.500

---

Below is an optimized crystal structure of DyAlZn, with properties calculated at the PBE level.

## Properties
The calculation puts the total energy at -3.659 eV per atom. As for the space group: Pnma (62).

abc: 7.157 4.475 7.666
angles: 90.00 90.00 90.00
Positions (direct):
Dy 0.004 0.250 0.216
Dy 0.496 0.750 0.716
Dy 0.504 0.250 0.284
Dy 0.996 0.750 0.784
Al 0.205 0.250 0.587
Al 0.295 0.750 0.087
Al 0.705 0.250 0.913
Al 0.795 0.750 0.413
Zn 0.202 0.750 0.415
Zn 0.298 0.250 0.915
Zn 0.702 0.750 0.085
Zn 0.798 0.250 0.585

---

Below is an optimized crystal structure of DyAlZn, with properties calculated at the PBE level.

## Properties
The calculation puts the total energy at -3.620 eV per atom. As for the space group: Pnma (62).

abc: 5.699 4.124 10.474
angles: 90.00 90.00 90.00
Positions (direct):
Dy 0.248 0.250 0.052
Dy 0.252 0.750 0.552
Dy 0.748 0.250 0.448
Dy 0.752 0.750 0.948
Al 0.002 0.250 0.750
Al 0.498 0.750 0.250
Al 0.502 0.250 0.750
Al 0.998 0.750 0.250
Zn 0.248 0.250 0.348
Zn 0.252 0.750 0.848
Zn 0.748 0.250 0.152
Zn 0.752 0.750 0.652

---

Below is an optimized crystal structure of DyAlZn, with properties calculated at the PBE level.

## Properties
The calculation puts the total energy at -3.652 eV per atom. As for the space group: P6_3/mmc (194).

abc: 4.452 4.452 7.249
angles: 90.00 90.00 120.00
Positions (direct):
Dy 0.000 0.000 0.000
Dy 0.000 0.000 0.500
Al 0.333 0.667 0.250
Al 0.667 0.333 0.750
Zn 0.333 0.667 0.750
Zn 0.667 0.333 0.250

---

Below is an optimized crystal structure of DyAl3Zn5, with properties calculated at the PBE level.

## Properties
The calculation puts the total energy at -2.699 eV per atom. As for the space group: I4/mmm (139).

abc: 10.271 10.271 10.271
angles: 130.88 130.88 72.01
Positions (direct):
Dy 0.000 0.500 0.500
Dy 0.221 0.221 0.000
Dy 0.500 0.000 0.500
Dy 0.779 0.779 0.000
Al 0.000 0.000 0.500
Al 0.000 0.500 0.000
Al 0.130 0.362 0.768
Al 0.362 0.130 0.768
Al 0.362 0.594 0.232
Al 0.406 0.638 0.768
Al 0.500 0.000 0.000
Al 0.500 0.500 0.500
Al 0.594 0.362 0.232
Al 0.638 0.406 0.768
Al 0.638 0.870 0.232
Al 0.870 0.638 0.232
Zn 0.083 0.083 0.323
Zn 0.083 0.760 0.000
Zn 0.173 0.522 0.349
Zn 0.173 0.824 0.651
Zn 0.176 0.827 0.349
Zn 0.240 0.240 0.323
Zn 0.240 0.917 0.000
Zn 0.347 0.347 0.694
Zn 0.347 0.653 0.000
Zn 0.478 0.827 0.651
Zn 0.522 0.173 0.349
Zn 0.653 0.347 0.000
Zn 0.653 0.653 0.306
Zn 0.760 0.083 0.000
Zn 0.760 0.760 0.677
Zn 0.824 0.173 0.651
Zn 0.827 0.176 0.349
Zn 0.827 0.478 0.651
Zn 0.917 0.240 0.000
Zn 0.917 0.917 0.677